Below is an optimized crystal structure of Ta7Al5, with properties calculated at the PBE level.

Volume   436 Å³ per cell
Calculated total energy   -101.6 eV/f.u.
Magnetization   0.0 μB/f.u.
E above lowest polymorph   13.0 kJ per mole of atoms

a = 5.3976 Å, b = 5.3976 Å, c = 17.2614 Å
α = 90.00°, β = 90.00°, γ = 120.00°
Space group P6_3/mmc (No. 194)
Asymmetric unit:
Ta1 0.0000 0.0000 0.0991 x4
Ta2 0.0000 0.5000 0.0000 x6
Ta3 0.3333 0.6667 0.1303 x4
Al1 0.1578 0.3156 0.2500 x6
Al2 0.3333 0.6667 0.6413 x4


Below is an optimized crystal structure of CsAcTm, with properties calculated at the PBE level.

Volume   560 Å³ per cell
Calculated total energy   -6.0 eV/f.u.
Magnetization   0.1 μB/f.u.
E above lowest polymorph   5.9 kJ per mole of atoms

a = 8.245 Å, b = 8.245 Å, c = 8.245 Å
α = 90.00°, β = 90.00°, γ = 90.00°
Space group F-43m (No. 216)
Asymmetric unit:
Cs1 0.000 0.000 0.000 x4
Ac1 0.250 0.250 0.750 x4
Tm1 0.250 0.250 0.250 x4


Q: Among the records above, which one has the lowest E above lowest polymorph?
A: CsAcTm


Q: The highest calculated total energy belongs to which entry?
A: CsAcTm